1.
Material: TlIn5Hg4
Method: DFT, PBE
State: optimized geometry

abc: 3.325 3.325 24.136
angles: 90.00 90.00 90.00
Fractional positions:
1 In 0.500 0.500 0.500
2 In 0.500 0.500 0.892
3 In 0.500 0.500 0.108
4 In 0.500 0.500 0.697
5 In 0.500 0.500 0.303
6 Hg 0.000 0.000 0.402
7 Hg 0.000 0.000 0.206
8 Hg 0.000 0.000 0.794
9 Hg 0.000 0.000 0.598
10 Tl 0.000 0.000 0.000

Computed properties:
- energy relative to the elements (eV/atom) = 0.00
- energy above the lowest structure with this stoichiometry (meV/atom) = 0
- mass density (g/cm³) = 9.8
- total DFT energy (no corrections) (eV/atom) = -1.7239
- M_tot (μB/f.u.) = 0.0

---

2.
Material: Tl2InHg
Method: DFT, PBE
State: optimized geometry

abc: 3.386 3.386 11.195
angles: 90.00 90.00 114.27
Fractional positions:
1 In 0.500 0.500 0.750
2 Tl 0.000 0.000 0.000
3 Tl 0.000 0.000 0.500
4 Hg 0.500 0.500 0.250

Computed properties:
- energy relative to the elements (eV/atom) = 0.02
- energy above the lowest structure with this stoichiometry (meV/atom) = 22
- mass density (g/cm³) = 10.3
- total DFT energy (no corrections) (eV/atom) = -1.9198
- M_tot (μB/f.u.) = 0.0

---

3.
Material: Tl2In3Hg9
Method: DFT, PBE
State: optimized geometry

abc: 8.000 8.000 15.873
angles: 90.00 90.00 120.00
Fractional positions:
1 Hg 0.779 0.679 0.433
2 Hg 0.679 0.900 0.567
3 Hg 0.927 0.394 0.750
4 Hg 0.100 0.779 0.567
5 Hg 0.900 0.221 0.433
6 Hg 0.221 0.321 0.933
7 Hg 0.467 0.073 0.750
8 Hg 0.073 0.606 0.250
9 Hg 0.533 0.927 0.250
10 Hg 0.606 0.533 0.750
11 Hg 0.679 0.900 0.933
12 Hg 0.321 0.100 0.067
13 Hg 0.321 0.100 0.433
14 Hg 0.394 0.467 0.250
15 Hg 0.779 0.679 0.067
16 Hg 0.900 0.221 0.067
17 Hg 0.100 0.779 0.933
18 Hg 0.221 0.321 0.567
19 In 0.248 0.049 0.250
20 In 0.802 0.752 0.250
21 In 0.951 0.198 0.250
22 In 0.752 0.951 0.750
23 In 0.198 0.248 0.750
24 In 0.049 0.802 0.750
25 Tl 0.333 0.667 0.070
26 Tl 0.667 0.333 0.930
27 Tl 0.667 0.333 0.570
28 Tl 0.333 0.667 0.430

Computed properties:
- energy relative to the elements (eV/atom) = 0.06
- mass density (g/cm³) = 9.7
- total DFT energy (no corrections) (eV/atom) = -1.0590
- M_tot (μB/f.u.) = 0.0

---

4.
Material: Tl8InHg2
Method: DFT, PBE
State: optimized geometry

abc: 5.820 8.239 8.590
angles: 113.97 103.60 102.49
Fractional positions:
1 In 0.500 0.000 0.000
2 Tl 0.787 0.680 0.773
3 Tl 0.290 0.608 0.000
4 Tl 0.710 0.392 0.000
5 Tl 0.279 0.779 0.558
6 Tl 0.986 0.094 0.773
7 Tl 0.721 0.221 0.442
8 Tl 0.213 0.320 0.227
9 Tl 0.014 0.906 0.227
10 Hg 0.693 0.693 0.385
11 Hg 0.307 0.307 0.615

Computed properties:
- energy relative to the elements (eV/atom) = 0.05
- energy above the lowest structure with this stoichiometry (meV/atom) = 3
- mass density (g/cm³) = 10.4
- total DFT energy (no corrections) (eV/atom) = -1.9793
- M_tot (μB/f.u.) = 0.0

---

5.
Material: TlInHg4
Method: DFT, PBE
State: optimized geometry

abc: 6.208 6.208 6.208
angles: 60.00 60.00 60.00
Fractional positions:
1 Hg 0.625 0.625 0.125
2 Hg 0.625 0.625 0.625
3 Hg 0.625 0.125 0.625
4 Hg 0.125 0.625 0.625
5 In 0.250 0.250 0.250
6 Tl 0.000 0.000 0.000

Computed properties:
- energy relative to the elements (eV/atom) = 0.06
- energy above the lowest structure with this stoichiometry (meV/atom) = 64
- mass density (g/cm³) = 11.0
- total DFT energy (no corrections) (eV/atom) = -0.9944
- M_tot (μB/f.u.) = 0.0

---

6.
Material: Tl5In4Hg3
Method: DFT, PBE
State: optimized geometry

abc: 5.555 5.668 12.946
angles: 96.45 92.24 117.15
Fractional positions:
1 Tl 0.522 0.525 0.125
2 Tl 0.478 0.475 0.875
3 Tl 0.132 0.800 0.757
4 Tl 0.500 0.000 0.500
5 Tl 0.868 0.200 0.243
6 In 0.828 0.163 0.983
7 In 0.172 0.837 0.017
8 In 0.530 0.512 0.369
9 In 0.470 0.488 0.631
10 Hg 0.197 0.866 0.260
11 Hg 0.803 0.134 0.740
12 Hg 0.000 0.500 0.500

Computed properties:
- energy relative to the elements (eV/atom) = 0.04
- mass density (g/cm³) = 9.6
- total DFT energy (no corrections) (eV/atom) = -1.9296
- M_tot (μB/f.u.) = 0.0

---

7.
Material: Tl4In7Hg4
Method: DFT, PBE
State: optimized geometry

abc: 8.358 11.582 11.382
angles: 82.51 68.84 55.30
Fractional positions:
1 Tl 0.248 0.138 0.158
2 Tl 0.410 0.209 0.843
3 Tl 0.752 0.862 0.842
4 Tl 0.937 0.075 0.755
5 Tl 0.590 0.791 0.157
6 Tl 0.912 0.288 0.973
7 Tl 0.088 0.712 0.027
8 Tl 0.063 0.925 0.245
9 Hg 0.480 0.927 0.646
10 Hg 0.036 0.530 0.849
11 Hg 0.071 0.740 0.536
12 Hg 0.520 0.073 0.354
13 Hg 0.964 0.470 0.151
14 Hg 0.392 0.587 0.241
15 Hg 0.608 0.413 0.759
16 Hg 0.929 0.260 0.464
17 In 0.730 0.070 0.544
18 In 0.847 0.743 0.355
19 In 0.744 0.054 0.064
20 In 0.153 0.257 0.645
21 In 0.270 0.930 0.456
22 In 0.256 0.946 0.936
23 In 0.190 0.401 0.370
24 In 0.574 0.619 0.944
25 In 0.810 0.599 0.630
26 In 0.426 0.381 0.056
27 In 0.299 0.726 0.716
28 In 0.701 0.274 0.284
29 In 0.384 0.421 0.578
30 In 0.616 0.579 0.422

Computed properties:
- energy relative to the elements (eV/atom) = 0.01
- mass density (g/cm³) = 9.6
- total DFT energy (no corrections) (eV/atom) = -1.9749
- M_tot (μB/f.u.) = 0.0

---

8.
Material: Tl6InHg
Method: DFT, PBE
State: optimized geometry

abc: 12.031 6.510 6.510
angles: 93.97 51.97 128.03
Fractional positions:
1 Tl 0.837 0.374 0.000
2 Tl 0.463 0.626 0.374
3 Tl 0.163 0.626 0.000
4 Tl 0.163 0.000 0.374
5 Tl 0.537 0.374 0.626
6 Tl 0.837 0.000 0.626
7 Hg 0.500 0.000 0.000
8 In 0.000 0.000 0.000

Computed properties:
- energy relative to the elements (eV/atom) = 0.15
- energy above the lowest structure with this stoichiometry (meV/atom) = 88
- mass density (g/cm³) = 9.3
- total DFT energy (no corrections) (eV/atom) = -2.0049
- M_tot (μB/f.u.) = 0.0